Record 1
Compound: NbAlNi
Source: Alexandria
Functional: PBE
Structure: optimized geometry

Summary:
Density of states at the Fermi level = 1.179 states/eV/atom
Uncorrected energy = -7.00 eV/atom
E_form = -473 meV/atom

Geometry as CIF:
```
data_NbAlNi
_chemical_formula_sum 'Nb4 Al4 Ni4'
_space_group_name_H-M_alt 'I m m a'
_space_group_IT_number 74
_space_group_name_Hall '-I 2b 2'
_cell_length_a 4.904
_cell_length_b 5.064
_cell_length_c 6.896
_cell_angle_alpha 90.00
_cell_angle_beta 90.00
_cell_angle_gamma 90.00
loop_
_atom_site_label
_atom_site_type_symbol
_atom_site_fract_x
_atom_site_fract_y
_atom_site_fract_z
Nb1 Nb 0.000 0.250 0.127
Al1 Al 0.000 0.000 0.500
Ni1 Ni 0.250 0.250 0.750
```

Record 2
Compound: Ca3Zn9Pd2
Source: Alexandria
Functional: PBE
Structure: optimized geometry

Summary:
Density of states at the Fermi level = 0.478 states/eV/atom
Uncorrected energy = -2.37 eV/atom
E_form = -379 meV/atom

Geometry as CIF:
```
data_Ca3Zn9Pd2
_chemical_formula_sum 'Ca6 Zn18 Pd4'
_space_group_name_H-M_alt 'I m m m'
_space_group_IT_number 71
_space_group_name_Hall '-I 2 2'
_cell_length_a 4.382
_cell_length_b 9.205
_cell_length_c 12.938
_cell_angle_alpha 90.00
_cell_angle_beta 90.00
_cell_angle_gamma 90.00
loop_
_atom_site_label
_atom_site_type_symbol
_atom_site_fract_x
_atom_site_fract_y
_atom_site_fract_z
Ca1 Ca 0.000 0.000 0.000
Ca2 Ca 0.000 0.000 0.304
Zn1 Zn 0.000 0.281 0.127
Zn2 Zn 0.000 0.358 0.334
Zn3 Zn 0.000 0.500 0.000
Pd1 Pd 0.000 0.188 0.500
```

Record 3
Compound: TmZrGaPd
Source: Alexandria
Functional: PBE
Structure: optimized geometry

Summary:
Density of states at the Fermi level = 1.010 states/eV/atom
Uncorrected energy = -5.88 eV/atom
E_form = -572 meV/atom

Geometry as CIF:
```
data_TmZrGaPd
_chemical_formula_sum 'Tm4 Zr4 Ga4 Pd4'
_space_group_name_H-M_alt 'F -4 3 m'
_space_group_IT_number 216
_space_group_name_Hall 'F -4 2 3'
_cell_length_a 6.871
_cell_length_b 6.871
_cell_length_c 6.871
_cell_angle_alpha 90.00
_cell_angle_beta 90.00
_cell_angle_gamma 90.00
loop_
_atom_site_label
_atom_site_type_symbol
_atom_site_fract_x
_atom_site_fract_y
_atom_site_fract_z
Tm1 Tm 0.000 0.000 0.000
Zr1 Zr 0.000 0.000 0.500
Ga1 Ga 0.250 0.250 0.250
Pd1 Pd 0.250 0.250 0.750
```

Record 4
Compound: Ac3NdY12
Source: Alexandria
Functional: PBE
Structure: optimized geometry

Summary:
Density of states at the Fermi level = 1.760 states/eV/atom
Uncorrected energy = -5.87 eV/atom
E_form = 47 meV/atom

Geometry as CIF:
```
data_Ac3NdY12
_chemical_formula_sum 'Ac3 Nd1 Y12'
_space_group_name_H-M_alt 'P 4/m m m'
_space_group_IT_number 123
_space_group_name_Hall '-P 4 2'
_cell_length_a 5.171
_cell_length_b 5.171
_cell_length_c 20.688
_cell_angle_alpha 90.00
_cell_angle_beta 90.00
_cell_angle_gamma 90.00
loop_
_atom_site_label
_atom_site_type_symbol
_atom_site_fract_x
_atom_site_fract_y
_atom_site_fract_z
Ac1 Ac 0.000 0.000 0.000
Ac2 Ac 0.000 0.000 0.252
Nd1 Nd 0.000 0.000 0.500
Y1 Y 0.000 0.500 0.126
Y2 Y 0.000 0.500 0.380
Y3 Y 0.500 0.500 0.000
Y4 Y 0.500 0.500 0.253
Y5 Y 0.500 0.500 0.500
```

Record 5
Compound: AlReMo2
Source: Alexandria
Functional: PBE
Structure: optimized geometry

Summary:
Density of states at the Fermi level = 0.719 states/eV/atom
Uncorrected energy = -9.43 eV/atom
E_form = 30 meV/atom

Geometry as CIF:
```
data_AlReMo2
_chemical_formula_sum 'Al2 Re2 Mo4'
_space_group_name_H-M_alt 'I -4 m 2'
_space_group_IT_number 119
_space_group_name_Hall 'I -4 -2'
_cell_length_a 3.705
_cell_length_b 3.705
_cell_length_c 8.940
_cell_angle_alpha 90.00
_cell_angle_beta 90.00
_cell_angle_gamma 90.00
loop_
_atom_site_label
_atom_site_type_symbol
_atom_site_fract_x
_atom_site_fract_y
_atom_site_fract_z
Al1 Al 0.000 0.000 0.000
Re1 Re 0.000 0.500 0.250
Mo1 Mo 0.000 0.000 0.500
Mo2 Mo 0.000 0.500 0.750
```

Record 6
Compound: PrGdSnPd
Source: Alexandria
Functional: PBE
Structure: optimized geometry

Summary:
Density of states at the Fermi level = 0.881 states/eV/atom
Uncorrected energy = -7.71 eV/atom
E_form = -694 meV/atom

Geometry as CIF:
```
data_PrGdSnPd
_chemical_formula_sum 'Pr4 Gd4 Sn4 Pd4'
_space_group_name_H-M_alt 'F -4 3 m'
_space_group_IT_number 216
_space_group_name_Hall 'F -4 2 3'
_cell_length_a 7.482
_cell_length_b 7.482
_cell_length_c 7.482
_cell_angle_alpha 90.00
_cell_angle_beta 90.00
_cell_angle_gamma 90.00
loop_
_atom_site_label
_atom_site_type_symbol
_atom_site_fract_x
_atom_site_fract_y
_atom_site_fract_z
Pr1 Pr 0.000 0.000 0.000
Gd1 Gd 0.000 0.000 0.500
Sn1 Sn 0.250 0.250 0.750
Pd1 Pd 0.250 0.250 0.250
```

Record 7
Compound: Hg4O2F3
Source: Alexandria
Functional: PBE
Structure: optimized geometry

Summary:
Density of states at the Fermi level = 0.159 states/eV/atom
Energy relative to the lowest polymorph listed for this composition = 25.0 meV per atom
Uncorrected energy = -2.67 eV/atom
Formation energy from raw total energies = -809 meV per atom

Geometry as CIF:
```
data_Hg4O2F3
_chemical_formula_sum 'Hg16 O8 F12'
_space_group_name_H-M_alt 'C 1 2/c 1'
_space_group_IT_number 15
_cell_length_a 10.564
_cell_length_b 9.371
_cell_length_c 6.702
_cell_angle_alpha 90.00
_cell_angle_beta 97.34
_cell_angle_gamma 90.00
loop_
_space_group_symop_operation_xyz
'x,y,z'
'-x,-y,-z'
'-x,y,-z+1/2'
'x,-y,z+1/2'
'x+1/2,y+1/2,z'
'-x+1/2,-y+1/2,-z'
'-x+1/2,y+1/2,-z+1/2'
'x+1/2,-y+1/2,z+1/2'
loop_
_atom_site_label
_atom_site_type_symbol
_atom_site_fract_x
_atom_site_fract_y
_atom_site_fract_z
Hg1 Hg 0.099 0.168 0.047
Hg2 Hg 0.152 0.459 0.579
O1 O 0.176 0.364 0.873
F1 F 0.000 0.360 0.250
F2 F 0.104 0.087 0.435
```

Record 8
Compound: PmHo4Cu
Source: Alexandria
Functional: PBE
Structure: optimized geometry

Summary:
Density of states at the Fermi level = 1.388 states/eV/atom
Uncorrected energy = -4.58 eV/atom
E_form = -55 meV/atom

Geometry as CIF:
```
data_PmHo4Cu
_chemical_formula_sum 'Pm1 Ho4 Cu1'
_space_group_name_H-M_alt 'P 4/m m m'
_space_group_IT_number 123
_space_group_name_Hall '-P 4 2'
_cell_length_a 3.516
_cell_length_b 3.516
_cell_length_c 13.669
_cell_angle_alpha 90.00
_cell_angle_beta 90.00
_cell_angle_gamma 90.00
loop_
_atom_site_label
_atom_site_type_symbol
_atom_site_fract_x
_atom_site_fract_y
_atom_site_fract_z
Pm1 Pm 0.000 0.000 0.000
Ho1 Ho 0.000 0.000 0.377
Ho2 Ho 0.500 0.500 0.188
Cu1 Cu 0.500 0.500 0.500
```

Record 9
Compound: ScTc2Ir
Source: Alexandria
Functional: PBE
Structure: optimized geometry

Summary:
Density of states at the Fermi level = 0.907 states/eV/atom
Energy relative to the lowest polymorph listed for this composition = 55.7 meV per atom
Uncorrected energy = -9.12 eV/atom
E_form = -137 meV/atom

Geometry as CIF:
```
data_ScTc2Ir
_chemical_formula_sum 'Sc2 Tc4 Ir2'
_space_group_name_H-M_alt 'C 1 m 1'
_space_group_IT_number 8
_cell_length_a 9.293
_cell_length_b 2.855
_cell_length_c 4.882
_cell_angle_alpha 90.00
_cell_angle_beta 102.07
_cell_angle_gamma 90.00
loop_
_space_group_symop_operation_xyz
'x,y,z'
'x,-y,z'
'x+1/2,y+1/2,z'
'x+1/2,-y+1/2,z'
loop_
_atom_site_label
_atom_site_type_symbol
_atom_site_fract_x
_atom_site_fract_y
_atom_site_fract_z
Sc1 Sc 0.000 0.000 0.000
Tc1 Tc 0.227 0.000 0.664
Tc2 Tc 0.485 0.000 0.502
Ir1 Ir 0.254 0.500 0.196
```

Record 10
Compound: Na2CuH4S2O10
Source: Alexandria
Functional: PBE
Structure: optimized geometry

Summary:
Uncorrected energy = -5.45 eV/atom

Geometry as CIF:
```
data_Na2CuH4S2O10
_chemical_formula_sum 'Na4 Cu2 H8 S4 O20'
_space_group_name_H-M_alt 'P 1 21/c 1'
_space_group_IT_number 14
_cell_length_a 5.931
_cell_length_b 12.748
_cell_length_c 5.696
_cell_angle_alpha 90.00
_cell_angle_beta 109.99
_cell_angle_gamma 90.00
loop_
_space_group_symop_operation_xyz
'x,y,z'
'-x,-y,-z'
'-x,y+1/2,-z+1/2'
'x,-y+1/2,z+1/2'
loop_
_atom_site_label
_atom_site_type_symbol
_atom_site_fract_x
_atom_site_fract_y
_atom_site_fract_z
Na1 Na 0.075 0.125 0.203
Cu1 Cu 0.500 0.000 0.000
H1 H 0.202 0.145 0.780
H2 H 0.435 0.199 0.975
S1 S 0.253 0.620 0.966
O1 O 0.047 0.693 0.940
O2 O 0.203 0.556 0.736
O3 O 0.259 0.547 0.182
O4 O 0.331 0.135 0.947
O5 O 0.482 0.677 0.026
```

Record 11
Compound: Ta5Al
Source: Alexandria
Functional: PBE
Structure: optimized geometry

Summary:
Density of states at the Fermi level = 1.018 states/eV/atom
Energy relative to the lowest polymorph listed for this composition = 143.8 meV per atom
Uncorrected energy = -10.42 eV/atom
E_form = 79 meV/atom

Geometry as CIF:
```
data_Ta5Al
_chemical_formula_sum 'Ta10 Al2'
_space_group_name_H-M_alt 'C 1 m 1'
_space_group_IT_number 8
_cell_length_a 10.841
_cell_length_b 2.810
_cell_length_c 7.332
_cell_angle_alpha 90.00
_cell_angle_beta 103.65
_cell_angle_gamma 90.00
loop_
_space_group_symop_operation_xyz
'x,y,z'
'x,-y,z'
'x+1/2,y+1/2,z'
'x+1/2,-y+1/2,z'
loop_
_atom_site_label
_atom_site_type_symbol
_atom_site_fract_x
_atom_site_fract_y
_atom_site_fract_z
Ta1 Ta 0.000 0.000 0.000
Ta2 Ta 0.067 0.000 0.652
Ta3 Ta 0.172 0.500 0.353
Ta4 Ta 0.240 0.500 0.978
Ta5 Ta 0.408 0.000 0.326
Al1 Al 0.335 0.000 0.686
```

Record 12
Compound: Sm2P4Ir3Ru
Source: Alexandria
Functional: PBE
Structure: optimized geometry

Summary:
Density of states at the Fermi level = 0.410 states/eV/atom
Uncorrected energy = -7.72 eV/atom
E_form = -1026 meV/atom

Geometry as CIF:
```
data_Sm2P4Ir3Ru
_chemical_formula_sum 'Sm2 P4 Ir3 Ru1'
_space_group_name_H-M_alt 'P -4 m 2'
_space_group_IT_number 115
_cell_length_a 4.182
_cell_length_b 4.182
_cell_length_c 9.473
_cell_angle_alpha 90.00
_cell_angle_beta 90.00
_cell_angle_gamma 90.00
loop_
_space_group_symop_operation_xyz
'x,y,z'
'y,-x,-z'
'-x,-y,z'
'-y,x,-z'
'-x,y,z'
'-y,-x,-z'
'x,-y,z'
'y,x,-z'
loop_
_atom_site_label
_atom_site_type_symbol
_atom_site_fract_x
_atom_site_fract_y
_atom_site_fract_z
Sm1 Sm 0.000 0.500 0.240
P1 P 0.000 0.000 0.000
P2 P 0.000 0.500 0.633
P3 P 0.500 0.500 0.000
Ir1 Ir 0.000 0.500 0.886
Ir2 Ir 0.500 0.500 0.500
Ru1 Ru 0.000 0.000 0.500
```

- Which of these has the highest uncorrected energy?
  Ca3Zn9Pd2

- Which of these has the lowest uncorrected energy?
  Ta5Al